1.
Entry from Alexandria: a relaxed structure of Y2ScBr (GGA-PBE).

Computed properties:
* energy above the lowest structure with this stoichiometry: 86 meV/atom
* ΔE_f (raw): -409 meV/atom

Cell and atoms, written as extended XYZ:
```
4
Lattice="3.467 0.000 0.000 0.000 3.467 0.000 0.000 0.000 9.199" Properties=species:S:1:pos:R:3 pbc="T T T"
Br 1.733 1.733 2.300
Sc 1.733 1.733 6.899
Y 0.000 0.000 0.027
Y 0.000 0.000 4.572
```

---

2.
Entry from Alexandria: a relaxed structure of YScBr2 (GGA-PBE).

Computed properties:
* energy above the lowest structure with this stoichiometry: 364 meV/atom
* ΔE_f (raw): -801 meV/atom

Cell and atoms, written as extended XYZ:
```
4
Lattice="-2.806 -0.570 1.984 -3.305 -1.671 -5.156 1.338 -4.496 0.600" Properties=species:S:1:pos:R:3 pbc="T T T"
Br 0.000 0.000 0.000
Br -3.056 -1.121 -1.586
Sc -0.734 -2.533 1.292
Y -0.984 -3.084 -2.278
```

---

3.
Entry from Alexandria: a relaxed structure of Y2ScBr (GGA-PBE).

Computed properties:
* energy above the lowest structure with this stoichiometry: 363 meV/atom
* ΔE_f (raw): -131 meV/atom

Cell and atoms, written as extended XYZ:
```
4
Lattice="-1.494 2.864 1.348 -0.159 -2.578 5.299 4.960 2.049 1.146" Properties=species:S:1:pos:R:3 pbc="T T T"
Br 1.733 2.456 1.247
Sc 2.400 -0.264 3.222
Y 0.000 0.000 0.000
Y -0.827 0.143 3.324
```

---

4.
Entry from Alexandria: a relaxed structure of YScBr2 (GGA-PBE).

Computed properties:
* energy above the lowest structure with this stoichiometry: 332 meV/atom
* ΔE_f (raw): -834 meV/atom

Cell and atoms, written as extended XYZ:
```
4
Lattice="-5.571 1.648 7.269 -7.936 1.127 4.726 -6.542 -1.617 6.417" Properties=species:S:1:pos:R:3 pbc="T T T"
Br -19.969 1.153 18.338
Br -10.104 0.583 9.279
Sc -5.012 0.289 4.603
Y -15.036 0.868 13.808
```

---

5.
Entry from Alexandria: a relaxed structure of YScBr2 (GGA-PBE).

Computed properties:
* energy above the lowest structure with this stoichiometry: 454 meV/atom
* ΔE_f (raw): -711 meV/atom

Cell and atoms, written as extended XYZ:
```
8
Lattice="-4.116 1.373 2.299 -0.341 -4.450 2.047 2.827 1.423 9.454" Properties=species:S:1:pos:R:3 pbc="T T T"
Y 0.000 0.000 0.000
Y -1.758 0.628 6.963
Sc -2.228 -1.539 2.173
Sc 0.129 -2.283 6.837
Br -1.872 0.645 4.036
Br -0.057 -2.242 3.950
Br 0.446 -0.126 8.738
Br -1.776 -1.586 10.875
```

---

6.
Entry from Alexandria: a relaxed structure of YSc2Br (GGA-PBE).

Computed properties:
* energy above the lowest structure with this stoichiometry: 71 meV/atom
* ΔE_f (raw): -361 meV/atom

Cell and atoms, written as extended XYZ:
```
4
Lattice="3.385 0.000 0.000 0.000 3.385 0.000 0.000 0.000 8.987" Properties=species:S:1:pos:R:3 pbc="T T T"
Br 1.692 1.692 6.799
Sc 0.000 0.000 8.981
Sc 1.692 1.692 2.126
Y 0.000 0.000 4.561
```

---

7.
Entry from Alexandria: a relaxed structure of YScBr2 (GGA-PBE).

Computed properties:
* energy above the lowest structure with this stoichiometry: 319 meV/atom
* ΔE_f (raw): -847 meV/atom

Cell and atoms, written as extended XYZ:
```
4
Lattice="-5.282 0.049 0.802 -4.290 -3.142 -0.517 0.366 -2.168 5.522" Properties=species:S:1:pos:R:3 pbc="T T T"
Br -9.147 -2.989 0.354
Br -5.027 -2.734 2.834
Sc -6.904 -3.946 4.355
Y -2.301 -1.315 1.452
```

---

8.
Entry from Alexandria: a relaxed structure of YSc2Br (GGA-PBE).

Computed properties:
* energy above the lowest structure with this stoichiometry: 262 meV/atom
* ΔE_f (raw): -170 meV/atom

Cell and atoms, written as extended XYZ:
```
4
Lattice="3.388 0.000 0.000 0.000 5.372 0.000 0.000 0.000 5.690" Properties=species:S:1:pos:R:3 pbc="T T T"
Br 0.000 2.686 2.845
Sc 0.000 0.000 0.000
Sc 1.694 2.686 0.000
Y 1.694 0.000 2.845
```

---

9.
Entry from Alexandria: a relaxed structure of YSc2Br (GGA-PBE).

Computed properties:
* energy above the lowest structure with this stoichiometry: 697 meV/atom
* ΔE_f (raw): 265 meV/atom

Cell and atoms, written as extended XYZ:
```
4
Lattice="5.274 0.000 0.000 2.637 4.567 0.000 2.637 1.522 4.306" Properties=species:S:1:pos:R:3 pbc="T T T"
Br 0.000 0.000 0.000
Sc 2.637 1.522 1.077
Sc 7.911 4.567 3.230
Y 5.274 3.045 2.153
```

---

10.
Entry from Alexandria: a relaxed structure of YScBr2 (GGA-PBE).

Computed properties:
* energy above the lowest structure with this stoichiometry: 411 meV/atom
* ΔE_f (raw): -755 meV/atom

Cell and atoms, written as extended XYZ:
```
4
Lattice="6.472 0.005 -0.003 3.474 5.461 0.003 -4.391 -3.792 2.869" Properties=species:S:1:pos:R:3 pbc="T T T"
Br 0.215 0.118 0.000
Br 3.232 -0.689 1.433
Sc 5.062 2.782 0.000
Y 2.018 2.196 1.436
```

---

11.
Entry from Alexandria: a relaxed structure of Y2ScBr (GGA-PBE).

Computed properties:
* energy above the lowest structure with this stoichiometry: 84 meV/atom
* ΔE_f (raw): -411 meV/atom

Cell and atoms, written as extended XYZ:
```
4
Lattice="3.471 0.175 0.000 -1.015 3.324 0.000 0.000 0.000 9.459" Properties=species:S:1:pos:R:3 pbc="T T T"
Br 1.228 1.750 2.365
Sc 1.228 1.750 7.094
Y 0.000 0.000 0.036
Y 0.000 0.000 4.693
```

---

12.
Entry from Alexandria: a relaxed structure of Y4ScBr (GGA-PBE).

Computed properties:
* ΔE_f (raw): 352 meV/atom

Cell and atoms, written as extended XYZ:
```
6
Lattice="3.696 -3.666 -3.968 3.335 -5.090 2.410 -1.838 -6.108 -1.468" Properties=species:S:1:pos:R:3 pbc="T T T"
Y 3.634 -8.131 0.100
Y 3.817 -7.406 -3.148
Y 1.000 -8.650 -1.875
Y 1.936 -5.540 -1.128
Sc 0.000 0.000 0.000
Br 3.895 -11.147 -2.269
```

---

13.
Entry from Alexandria: a relaxed structure of YZr2ScBr (GGA-PBE).

Computed properties:
* ΔE_f (raw): 118 meV/atom

Cell and atoms, written as extended XYZ:
```
5
Lattice="-0.673 4.423 2.366 -0.530 -2.539 4.594 4.990 0.348 0.769" Properties=species:S:1:pos:R:3 pbc="T T T"
Y -0.265 -1.269 2.297
Sc 1.893 1.116 3.864
Br 0.000 0.000 0.000
Zr 2.495 0.174 0.384
Zr -0.336 2.211 1.183
```

---

14.
Entry from Alexandria: a relaxed structure of Sc2ZnBr (GGA-PBE).

Computed properties:
* energy above the lowest structure with this stoichiometry: 136 meV/atom
* ΔE_f (raw): -418 meV/atom

Cell and atoms, written as extended XYZ:
```
4
Lattice="-8.775 -1.568 -3.867 -9.449 -2.202 -0.545 -9.506 1.037 -1.728" Properties=species:S:1:pos:R:3 pbc="T T T"
Br -20.439 -2.014 -4.526
Sc -0.111 -0.011 -0.024
Sc -6.919 -0.682 -1.532
Zn -14.126 -1.392 -3.128
```

---

15.
Entry from Alexandria: a relaxed structure of Sc2ZnBr (GGA-PBE).

Computed properties:
* energy above the lowest structure with this stoichiometry: 127 meV/atom
* ΔE_f (raw): -427 meV/atom

Cell and atoms, written as extended XYZ:
```
4
Lattice="-2.192 1.703 4.838 -4.722 1.189 2.721 -0.290 -4.440 1.426" Properties=species:S:1:pos:R:3 pbc="T T T"
Br -1.869 0.207 2.183
Sc -0.077 -0.533 0.221
Sc -5.311 -0.633 6.501
Zn -3.549 -1.363 4.573
```

---

16.
Entry from Alexandria: a relaxed structure of Sc2ZnBr (GGA-PBE).

Computed properties:
* energy above the lowest structure with this stoichiometry: 256 meV/atom
* ΔE_f (raw): -298 meV/atom

Cell and atoms, written as extended XYZ:
```
4
Lattice="-1.028 4.937 -1.319 -3.946 0.953 3.270 5.036 -1.265 0.453" Properties=species:S:1:pos:R:3 pbc="T T T"
Br -0.698 1.316 2.349
Sc -0.037 0.044 0.015
Sc -2.450 2.901 0.961
Zn 0.761 3.308 0.055
```

---

17.
Entry from Alexandria: a relaxed structure of Sc2ZnBr (GGA-PBE).

Computed properties:
* energy above the lowest structure with this stoichiometry: 208 meV/atom
* ΔE_f (raw): -346 meV/atom

Cell and atoms, written as extended XYZ:
```
4
Lattice="5.058 0.018 0.000 -0.675 5.012 0.000 0.000 0.000 3.229" Properties=species:S:1:pos:R:3 pbc="T T T"
Br -0.337 2.506 1.615
Sc 0.000 0.000 0.000
Sc 2.191 2.515 0.000
Zn 2.529 0.009 1.615
```

---

18.
Entry from Alexandria: a relaxed structure of Sc2ZnBr (GGA-PBE).

Computed properties:
* energy above the lowest structure with this stoichiometry: 522 meV/atom
* ΔE_f (raw): -32 meV/atom

Cell and atoms, written as extended XYZ:
```
8
Lattice="5.908 0.000 0.000 0.000 5.908 0.000 2.954 2.954 6.532" Properties=species:S:1:pos:R:3 pbc="T T T"
Sc 4.311 1.477 1.633
Sc 1.598 4.431 1.633
Sc 4.431 4.552 4.899
Sc 7.386 7.265 4.899
Zn 2.954 2.954 0.000
Zn 2.954 5.908 3.266
Br 0.000 0.000 0.000
Br 5.908 2.954 3.266
```

---

19.
Entry from Alexandria: a relaxed structure of Sc3ZnBr (GGA-PBE).

Computed properties:
* energy above the lowest structure with this stoichiometry: 0 meV/atom
* ΔE_f (raw): -5 meV/atom

Cell and atoms, written as extended XYZ:
```
5
Lattice="-4.196 -2.596 -0.274 1.573 -2.101 -4.187 2.084 -3.642 2.610" Properties=species:S:1:pos:R:3 pbc="T T T"
Sc 0.787 -1.051 -2.094
Sc 1.042 -1.821 1.305
Sc -2.098 -1.298 -0.137
Zn -0.270 -4.170 -0.925
Br 0.000 0.000 0.000
```

---

20.
Entry from Alexandria: a relaxed structure of Sc2ZnBr (GGA-PBE).

Computed properties:
* energy above the lowest structure with this stoichiometry: 171 meV/atom
* ΔE_f (raw): -383 meV/atom

Cell and atoms, written as extended XYZ:
```
4
Lattice="2.056 0.000 9.044 -1.028 1.781 9.044 -1.028 -1.781 9.044" Properties=species:S:1:pos:R:3 pbc="T T T"
Sc 0.000 0.000 24.529
Sc 0.000 0.000 2.603
Zn 0.000 0.000 13.566
Br 0.000 0.000 0.000
```

---

Table of density (g/cm³), in record order: 4.55; 4.66; 4.44; 5.03; 4.33; 4.17; 4.55; 4.15; 4.14; 4.81; 4.53; 4.02; 4.87; 3.99; 4.70; 4.59; 4.77; 3.43; 3.85; 3.93